A plane-wave DFT calculation with GGA-PBEsol was carried out for a geometry-optimized Rb2SnH12N6 structure.

```
Rb2SnH12N6
1.0
6.5279 0.0000 0.0000
-3.2640 5.6534 0.0000
0.0000 0.0000 5.6403
Rb Sn H N
2 1 12 6
Direct
0.3333 0.6667 0.3069 Rb
0.6667 0.3333 0.6931 Rb
0.0000 0.0000 0.5000 Sn
0.0534 0.2615 0.8901 H
0.1375 0.7113 0.7289 H
0.2081 0.9466 0.8901 H
0.2615 0.2081 0.1099 H
0.2887 0.4262 0.7289 H
0.4262 0.1375 0.2711 H
0.5738 0.8625 0.7289 H
0.7113 0.5738 0.2711 H
0.7385 0.7919 0.8901 H
0.7919 0.0534 0.1099 H
0.8625 0.2887 0.2711 H
0.9466 0.7385 0.1099 H
0.1074 0.3164 0.7186 N
0.2090 0.8926 0.7186 N
0.3164 0.2090 0.2814 N
0.6836 0.7910 0.7186 N
0.7910 0.1074 0.2814 N
0.8926 0.6836 0.2814 N
```

Results
D(E_F) ... 0.000 states/eV per atom
Raw total energy ... -4.98 eV per atom

=====

A plane-wave DFT calculation with GGA-PBEsol was carried out for a geometry-optimized RbTa2HN structure.

```
RbTa2HN
1.0
4.0344 0.0000 0.0000
0.0000 4.0344 0.0000
0.0000 0.0000 7.3795
Rb Ta H N
1 2 1 1
Direct
0.0000 0.0000 0.0000 Rb
0.0000 0.5000 0.5000 Ta
0.5000 0.0000 0.5000 Ta
0.5000 0.5000 0.0000 H
0.5000 0.5000 0.5000 N
```

Results
D(E_F) ... 0.851 states/eV per atom
Raw total energy ... -6.99 eV per atom

=====

A plane-wave DFT calculation with GGA-PBEsol was carried out for a geometry-optimized Re2HN structure.

```
Re2HN
1.0
5.3408 0.0000 0.0000
0.0000 5.3408 0.0000
0.0000 0.0000 5.3408
Re H N
8 4 4
Direct
0.2500 0.2500 0.2500 Re
0.2500 0.2500 0.7500 Re
0.2500 0.7500 0.2500 Re
0.2500 0.7500 0.7500 Re
0.7500 0.2500 0.2500 Re
0.7500 0.2500 0.7500 Re
0.7500 0.7500 0.2500 Re
0.7500 0.7500 0.7500 Re
0.0000 0.0000 0.0000 H
0.0000 0.5000 0.5000 H
0.5000 0.0000 0.5000 H
0.5000 0.5000 0.0000 H
0.0000 0.0000 0.5000 N
0.0000 0.5000 0.0000 N
0.5000 0.0000 0.0000 N
0.5000 0.5000 0.5000 N
```

Results
D(E_F) ... 0.914 states/eV per atom
Raw total energy ... -8.44 eV per atom

=====

Which formula does entry 1 have? Rb2SnH12N6

=====

Which formula does entry 1 have? Rb2SnH12N6

=====

What is the formula in the third record? Re2HN